(1)
Entry from Alexandria via LeMat-Bulk: an optimized crystal structure of KZrSi2 (PBE).

Output
Energy = -5.3207 eV/atom
Magnetic moment = 0.00 μB/f.u.

The structure in extended XYZ format:
```
4
Lattice="-3.381 -0.495 1.198 -1.186 -0.169 -3.418 1.060 -7.256 -0.008" Properties=species:S:1:pos:R:3 pbc="T T T"
Si 0.436 -2.985 -0.003
Si 0.094 -0.643 -0.001
K -1.489 -5.774 -1.116
Zr -2.019 -2.146 -1.112
```

(2)
Entry from Alexandria via LeMat-Bulk: an optimized crystal structure of KZr2Si (PBE).

Output
Energy = -5.3040 eV/atom
Magnetic moment = 0.00 μB/f.u.

The structure in extended XYZ format:
```
4
Lattice="-3.235 -1.376 4.409 -4.964 -2.275 -1.411 5.365 -0.970 -1.443" Properties=species:S:1:pos:R:3 pbc="T T T"
K -4.099 -1.825 1.499
Si -0.985 -2.086 2.233
Zr -1.849 -2.535 -0.677
Zr 0.000 0.000 0.000
```

(3)
Entry from Alexandria via LeMat-Bulk: an optimized crystal structure of KZrSi2 (PBE).

Output
Energy = -5.1762 eV/atom
Magnetic moment = 0.00 μB/f.u.

The structure in extended XYZ format:
```
4
Lattice="-2.342 1.438 1.246 -1.564 -0.331 -2.559 -3.339 -8.116 3.089" Properties=species:S:1:pos:R:3 pbc="T T T"
Si -1.552 -3.772 1.436
Si -0.118 -0.286 0.109
Zr -2.788 -1.475 0.116
K -4.457 -5.533 1.660
```

(4)
Entry from Alexandria via LeMat-Bulk: an optimized crystal structure of KZr2Si (PBE).

Output
Energy = -5.7972 eV/atom
Magnetic moment = 0.00 μB/f.u.

The structure in extended XYZ format:
```
4
Lattice="-2.946 -0.187 0.984 1.378 -0.958 2.620 0.495 9.945 3.374" Properties=species:S:1:pos:R:3 pbc="T T T"
Zr 0.456 9.159 3.108
Zr 0.287 5.759 1.954
Si -0.413 6.886 4.333
K -0.660 1.914 2.646
```

(5)
Entry from Alexandria via LeMat-Bulk: an optimized crystal structure of KSm (PBE).

Output
Formation enthalpy at 0 K = 453.1 meV/atom
Magnetic moment = 0.00 μB/f.u.

The structure in extended XYZ format:
```
2
Lattice="3.686 0.001 0.000 -1.844 3.191 0.000 0.000 0.000 7.228" Properties=species:S:1:pos:R:3 pbc="T T T"
Sm -0.001 2.128 1.807
K 1.842 1.064 5.421
```

(6)
Entry from Alexandria via LeMat-Bulk: an optimized crystal structure of K4Sm (PBE).

Output
Formation enthalpy at 0 K = 710.6 meV/atom
Magnetic moment = 3.32 μB/f.u.

The structure in extended XYZ format:
```
5
Lattice="7.357 0.000 0.000 0.000 7.357 0.000 0.000 0.000 7.357" Properties=species:S:1:pos:R:3 pbc="T T T"
K 0.000 3.678 3.678
K 0.000 0.000 0.000
K 3.678 0.000 3.678
K 3.678 3.678 0.000
Sm 3.678 3.678 3.678
```

(7)
Entry from Alexandria via LeMat-Bulk: an optimized crystal structure of KSmSn4 (PBE).

Output
Formation enthalpy at 0 K = -271.9 meV/atom
Magnetic moment = 0.00 μB/f.u.

The structure in extended XYZ format:
```
6
Lattice="6.301 0.000 0.000 3.151 5.457 0.000 3.151 1.819 5.145" Properties=species:S:1:pos:R:3 pbc="T T T"
Sm 0.000 0.000 0.000
Sn 6.301 3.638 0.629
Sn 7.888 4.554 3.220
Sn 4.715 4.554 3.220
Sn 6.301 1.806 3.220
K 3.151 1.819 1.286
```

(8)
Entry from Alexandria via LeMat-Bulk: an optimized crystal structure of KSmSn2 (PBE).

Output
Formation enthalpy at 0 K = -426.3 meV/atom
Magnetic moment = 0.00 μB/f.u.

The structure in extended XYZ format:
```
4
Lattice="-2.217 1.471 3.194 -3.488 -1.402 -1.775 0.849 -6.865 3.752" Properties=species:S:1:pos:R:3 pbc="T T T"
Sn 0.691 -5.583 3.051
Sn 0.159 -1.282 0.701
K -2.428 -3.398 2.585
Sm -2.852 0.035 0.709
```